## LiTc2AsBr (PBE-GGA)

Data for LiTc2AsBr after structural relaxation.

Results
DOS at the Fermi energy, states/eV per cell: 3.47
ΔE_f (raw), meV per atom: 1272.0

Unit cell a=4.619 b=4.619 c=4.041 alpha=90.00 beta=90.00 gamma=90.00
Space group P4/mmm (No. 123)
Inequivalent atoms, fractional coordinates:
Li  0.000  0.000  0.000 [1 per cell]
Tc  0.000  0.500  0.000 [2 per cell]
As  0.500  0.500  0.500 [1 per cell]
Br  0.000  0.000  0.500 [1 per cell]